# 1
AcCuSb2O8: relaxed, PBE-GGA.

The formation energy without anion corrections is -1.4645 eV/atom.

The space group is P2/m (No. 10) and the conventional cell measures 5.189, 6.387 and 5.210 Å, with angles of 90.00, 97.62 and 90.00 degrees. The inequivalent atoms are Ac at (0.000, 0.000, 0.000), Cu at (0.000, 0.500, 0.000), Sb at (0.500, 0.266, 0.500), O at (0.211, 0.289, 0.201), O at (0.321, 0.500, 0.670) and O at (0.336, 0.000, 0.656).



# 2
Ac3CuSb2O9: relaxed, PBE-GGA.

The formation energy without anion corrections is -2.0724 eV/atom.

The space group is P-3m1 (No. 164) and the conventional cell measures 5.9209, 5.9209 and 7.3526 Å, with angles of 90.00, 90.00 and 120.00 degrees. The inequivalent atoms are Ac at (0.0000, 0.0000, 0.0000), Ac at (0.3333, 0.6667, 0.6367), Cu at (0.0000, 0.0000, 0.5000), Sb at (0.3333, 0.6667, 0.1726), O at (0.0000, 0.5000, 0.0000) and O at (0.1698, 0.3396, 0.3399).



# 3
Ac3Sc2CuO9: relaxed, PBE-GGA.

The formation energy without anion corrections is -2.9032 eV/atom.

The space group is P-3m1 (No. 164) and the conventional cell measures 5.7442, 5.7442 and 7.0520 Å, with angles of 90.00, 90.00 and 120.00 degrees. The inequivalent atoms are Ac at (0.0000, 0.0000, 0.0000), Ac at (0.3333, 0.6667, 0.6576), Sc at (0.3333, 0.6667, 0.1689), Cu at (0.0000, 0.0000, 0.5000), O at (0.0000, 0.5000, 0.0000) and O at (0.1639, 0.3277, 0.3386).



# 4
Ac3ScCu2O8: relaxed, PBE-GGA.

The formation energy without anion corrections is -2.3707 eV/atom.

The space group is P-3m1 (No. 164) and the conventional cell measures 5.7081, 5.7081 and 7.3406 Å, with angles of 90.00, 90.00 and 120.00 degrees. The inequivalent atoms are Ac at (0.0000, 0.0000, 0.0000), Ac at (0.3333, 0.6667, 0.6309), Sc at (0.0000, 0.0000, 0.5000), Cu at (0.3333, 0.6667, 0.1850), O at (0.1642, 0.3283, 0.3262) and O at (0.3333, 0.6667, 0.9367).



no.,energy (eV/atom)
1,-6.1408
2,-6.6918
3,-7.8171
4,-7.1217